[1]
Compound: Rb6Au3I
Source: Alexandria
Functional: PBE
Structure: relaxed

abc: 14.490 4.965 15.730
angles: 90.00 112.71 90.00
Sites, in units of the cell vectors:
Rb 0.045 0.250 0.394
Rb 0.103 0.750 0.936
Rb 0.234 0.750 0.249
Rb 0.257 0.250 0.772
Rb 0.404 0.250 0.560
Rb 0.426 0.250 0.106
Rb 0.574 0.750 0.894
Rb 0.596 0.750 0.440
Rb 0.743 0.750 0.228
Rb 0.766 0.250 0.751
Rb 0.897 0.250 0.064
Rb 0.955 0.750 0.606
Au 0.016 0.250 0.768
Au 0.352 0.750 0.936
Au 0.417 0.250 0.340
Au 0.583 0.750 0.660
Au 0.648 0.250 0.064
Au 0.984 0.750 0.232
I 0.199 0.750 0.569
I 0.801 0.250 0.431

Computed properties:
As for the formation energy from raw total energies: -4.447 eV/f.u. For the calculated total energy, the calculation gives -43.3 eV for the cell shown. As for the density of states at the Fermi level: 0.5115 states/eV/atom. The crystal system is monoclinic. The space group is No. 11.

---

[2]
Compound: BaTiNi2Au
Source: Alexandria
Functional: PBE
Structure: relaxed

abc: 4.767 4.767 5.135
angles: 90.00 90.00 90.00
Sites, in units of the cell vectors:
Ba 0.000 0.000 0.000
Ti 0.000 0.000 0.500
Ni 0.000 0.500 0.000
Ni 0.500 0.000 0.000
Au 0.500 0.500 0.500

Computed properties:
For the calculated total energy, the calculation gives -15.5 eV for the cell shown. Its formation energy is 1.8259 eV/atom. As for the density of states at the Fermi level: 1.5580 states/eV/atom. The crystal system is tetragonal. The space group is No. 123.

---

[3]
Compound: Ce2ZnO
Source: Alexandria
Functional: PBE
Structure: relaxed

abc: 3.316 3.316 28.238
angles: 90.00 90.00 120.00
Sites, in units of the cell vectors:
Ce 0.000 0.000 0.113
Ce 0.000 0.000 0.887
Ce 0.333 0.667 0.554
Ce 0.333 0.667 0.780
Ce 0.667 0.333 0.220
Ce 0.667 0.333 0.446
Zn 0.000 0.000 0.000
Zn 0.333 0.667 0.667
Zn 0.667 0.333 0.333
O 0.000 0.000 0.500
O 0.333 0.667 0.167
O 0.667 0.333 0.833

Computed properties:
As for the formation energy from raw total energies: -4.166 eV/f.u. For the calculated total energy, the calculation gives -66.8 eV for the cell shown. As for the density of states at the Fermi level: 1.9743 states/eV/atom. The crystal system is trigonal. The space group is No. 166.

---

[4]
Compound: CeZnGa2Pd
Source: Alexandria
Functional: PBE
Structure: relaxed

abc: 4.275 4.275 10.459
angles: 90.00 90.00 90.00
Sites, in units of the cell vectors:
Ce 0.000 0.000 0.000
Ce 0.500 0.500 0.500
Zn 0.000 0.500 0.750
Zn 0.500 0.000 0.250
Ga 0.000 0.000 0.382
Ga 0.000 0.000 0.618
Ga 0.500 0.500 0.118
Ga 0.500 0.500 0.882
Pd 0.000 0.500 0.250
Pd 0.500 0.000 0.750

Computed properties:
For the calculated total energy, the calculation gives -42.7 eV for the cell shown. Its formation energy is -0.5792 eV/atom. As for the density of states at the Fermi level: 1.3890 states/eV/atom. The crystal system is tetragonal. The space group is No. 119.

---

[5]
Compound: Li3BiN
Source: Alexandria
Functional: PBE
Structure: relaxed

abc: 4.151 4.151 4.151
angles: 90.00 90.00 90.00
Sites, in units of the cell vectors:
Li 0.000 0.000 0.500
Li 0.000 0.500 0.000
Li 0.500 0.000 0.000
Bi 0.500 0.500 0.500
N 0.000 0.000 0.000

Computed properties:
As for the formation energy from raw total energies: -0.568 eV/f.u. For the calculated total energy, the calculation gives -18.5 eV for the cell shown. As for the density of states at the Fermi level: 0.4774 states/eV/atom. The crystal system is cubic. The space group is No. 221.

---

[6]
Compound: GeBPd4
Source: Alexandria
Functional: PBE
Structure: relaxed

abc: 6.823 6.823 8.171
angles: 104.51 104.51 29.79
Sites, in units of the cell vectors:
Ge 0.233 0.233 0.145
Ge 0.767 0.767 0.855
B 0.441 0.441 0.638
B 0.559 0.559 0.362
Pd 0.041 0.041 0.220
Pd 0.285 0.285 0.638
Pd 0.389 0.389 0.015
Pd 0.403 0.403 0.373
Pd 0.597 0.597 0.627
Pd 0.611 0.611 0.985
Pd 0.715 0.715 0.362
Pd 0.959 0.959 0.780

Computed properties:
For the calculated total energy, the calculation gives -66.9 eV for the cell shown. Its formation energy is -0.2314 eV/atom. As for the density of states at the Fermi level: 0.3348 states/eV/atom. The crystal system is monoclinic. The space group is No. 12.

---

[7]
Compound: KHfRh2N
Source: Alexandria
Functional: PBE
Structure: relaxed

abc: 4.139 4.139 4.780
angles: 90.00 90.00 90.00
Sites, in units of the cell vectors:
K 0.000 0.000 0.000
Hf 0.500 0.500 0.000
Rh 0.000 0.500 0.500
Rh 0.500 0.000 0.500
N 0.000 0.000 0.500

Computed properties:
As for the formation energy from raw total energies: 3.465 eV/f.u. For the calculated total energy, the calculation gives -30.6 eV for the cell shown. As for the density of states at the Fermi level: 1.3150 states/eV/atom. The crystal system is tetragonal. The space group is No. 123.

---

The calculation returns the following total magnetization values, one per record and in order: 0.00, 0.00, 4.25, 1.40, 0.00, 0.00, 0.71 μB per cell.